# In3Si, optimized geometry, DFT GGA-PBE
# Crystal system: trigonal
# D(E_F): 2.5 states/eV/cell
# Formation energy without anion corrections: 1.08 eV per formula unit
# Calculated volume: 98.2 Å³ per cell
data_In3Si
_space_group_name_H-M_alt 'P 1'
_space_group_IT_number 1
_space_group_name_Hall 'P 1'
_cell_length_a 10.027
_cell_length_b 10.027
_cell_length_c 10.027
_cell_angle_alpha 19.50
_cell_angle_beta 19.50
_cell_angle_gamma 19.50
loop_
_atom_site_label
_atom_site_type_symbol
_atom_site_fract_x
_atom_site_fract_y
_atom_site_fract_z
In1 In 0.000 0.000 0.000
In2 In 0.240 0.240 0.240
In3 In 0.760 0.760 0.760
Si1 Si 0.500 0.500 0.500